No. 1
Density functional theory data (PBE) for a geometry-optimized Zn2PIr2 structure.

Cell: 6.123 6.123 4.071 Å, 90.00 90.00 90.00°
Fractional coordinates of all 10 atoms:
Zn: 0.149 0.351 0.000
Zn: 0.351 0.851 0.000
Zn: 0.649 0.149 0.000
Zn: 0.851 0.649 0.000
P: 0.000 0.000 0.500
P: 0.500 0.500 0.500
Ir: 0.160 0.660 0.500
Ir: 0.340 0.160 0.500
Ir: 0.660 0.840 0.500
Ir: 0.840 0.340 0.500

Calculated values
For the density of states at the Fermi level, the calculation gives 5.5 states/eV per cell. The value obtained for the density is 11.883 g cm⁻³. The total energy is -5.290 eV per atom.

=====

No. 2
Density functional theory data (PBE) for a geometry-optimized Sm5Er6Tl structure.

Cell: 9.351 9.351 9.351 Å, 149.22 115.28 73.37°
Fractional coordinates of all 12 atoms:
Sm: 0.000 0.000 0.000
Sm: 0.163 0.663 0.500
Sm: 0.332 0.332 0.000
Sm: 0.668 0.668 0.000
Sm: 0.837 0.337 0.500
Er: 0.088 0.834 0.254
Er: 0.255 0.500 0.755
Er: 0.419 0.166 0.254
Er: 0.581 0.834 0.746
Er: 0.745 0.500 0.245
Er: 0.912 0.166 0.746
Tl: 0.500 0.000 0.500

Calculated values
For the density of states at the Fermi level, the calculation gives 16.5 states/eV per cell. The value obtained for the density is 8.733 g cm⁻³. The total energy is -4.468 eV per atom.

=====

No. 3
Density functional theory data (PBE) for a geometry-optimized Al2PbSe2 structure.

Cell: 8.003 8.003 3.598 Å, 90.00 90.00 90.00°
Fractional coordinates of all 10 atoms:
Al: 0.139 0.361 0.000
Al: 0.361 0.861 0.000
Al: 0.639 0.139 0.000
Al: 0.861 0.639 0.000
Pb: 0.000 0.000 0.500
Pb: 0.500 0.500 0.500
Se: 0.151 0.651 0.500
Se: 0.349 0.151 0.500
Se: 0.651 0.849 0.500
Se: 0.849 0.349 0.500

Calculated values
For the density of states at the Fermi level, the calculation gives 4.9 states/eV per cell. The calculation puts the uncorrected formation energy at -43.6 meV per atom. The energy above the most stable polymorph in this dataset comes out at 0 meV/atom. The value obtained for the density is 6.039 g cm⁻³. The total energy is -3.676 eV per atom.